Record 1
VASP calculation (GGA-PBE) on a relaxed LiTcBr6 crystal.

The structure in CIF format:
```
data_LiTcBr6
_cell_length_a 6.553
_cell_length_b 6.833
_cell_length_c 6.948
_cell_angle_alpha 60.54
_cell_angle_beta 78.79
_cell_angle_gamma 66.71
_symmetry_space_group_name_H-M 'P 1'
_symmetry_Int_Tables_number 1
loop_
_symmetry_equiv_pos_as_xyz
'x,y,z'
loop_
_atom_site_label
_atom_site_type_symbol
_atom_site_fract_x
_atom_site_fract_y
_atom_site_fract_z
Li1 Li 0.000 0.000 0.000
Tc1 Tc 0.500 0.500 0.000
Br1 Br 0.739 0.404 0.705
Br2 Br 0.739 0.109 0.295
Br3 Br 0.261 0.891 0.705
Br4 Br 0.261 0.596 0.295
Br5 Br 0.743 0.700 0.000
Br6 Br 0.257 0.300 0.000
```

Space-group type: C2/m
Fermi-level density of states, states/eV/atom: 0.5608
ΔE_f (raw), eV per formula unit: -4.46

---

Record 2
VASP calculation (GGA-PBE) on a relaxed LiTc3Br crystal.

The structure in CIF format:
```
data_LiTc3Br
_cell_length_a 4.262
_cell_length_b 4.262
_cell_length_c 4.262
_cell_angle_alpha 90.00
_cell_angle_beta 90.00
_cell_angle_gamma 90.00
_symmetry_space_group_name_H-M 'P 1'
_symmetry_Int_Tables_number 1
loop_
_symmetry_equiv_pos_as_xyz
'x,y,z'
loop_
_atom_site_label
_atom_site_type_symbol
_atom_site_fract_x
_atom_site_fract_y
_atom_site_fract_z
Tc1 Tc 0.000 0.500 0.000
Tc2 Tc 0.000 0.000 0.500
Tc3 Tc 0.500 0.000 0.000
Br1 Br 0.500 0.500 0.500
Li1 Li 0.000 0.000 0.000
```

Space-group type: Pm-3m
Fermi-level density of states, states/eV/atom: 2.0707
ΔE_f (raw), eV per formula unit: 8.88

---

Record 3
VASP calculation (GGA-PBE) on a relaxed Li4TcBr crystal.

The structure in CIF format:
```
data_Li4TcBr
_cell_length_a 5.257
_cell_length_b 5.257
_cell_length_c 5.257
_cell_angle_alpha 60.00
_cell_angle_beta 60.00
_cell_angle_gamma 60.00
_symmetry_space_group_name_H-M 'P 1'
_symmetry_Int_Tables_number 1
loop_
_symmetry_equiv_pos_as_xyz
'x,y,z'
loop_
_atom_site_label
_atom_site_type_symbol
_atom_site_fract_x
_atom_site_fract_y
_atom_site_fract_z
Li1 Li 0.871 0.376 0.376
Li2 Li 0.376 0.376 0.871
Li3 Li 0.376 0.871 0.376
Li4 Li 0.376 0.376 0.376
Tc1 Tc 0.750 0.750 0.750
Br1 Br 0.000 0.000 0.000
```

Space-group type: F-43m
Fermi-level density of states, states/eV/atom: 0.2818
ΔE_f (raw), eV per formula unit: 2.68

---

Record 4
VASP calculation (GGA-PBE) on a relaxed Li2TcBr6 crystal.

The structure in CIF format:
```
data_Li2TcBr6
_cell_length_a 6.612
_cell_length_b 7.288
_cell_length_c 10.787
_cell_angle_alpha 90.00
_cell_angle_beta 93.48
_cell_angle_gamma 90.00
_symmetry_space_group_name_H-M 'P 1'
_symmetry_Int_Tables_number 1
loop_
_symmetry_equiv_pos_as_xyz
'x,y,z'
loop_
_atom_site_label
_atom_site_type_symbol
_atom_site_fract_x
_atom_site_fract_y
_atom_site_fract_z
Li1 Li 0.984 0.629 0.852
Li2 Li 0.516 0.129 0.648
Li3 Li 0.484 0.871 0.352
Li4 Li 0.016 0.371 0.148
Tc1 Tc 0.500 0.500 0.000
Tc2 Tc 0.000 0.000 0.500
Br1 Br 0.139 0.053 0.286
Br2 Br 0.172 0.290 0.579
Br3 Br 0.183 0.318 0.935
Br4 Br 0.317 0.818 0.565
Br5 Br 0.328 0.790 0.921
Br6 Br 0.361 0.553 0.214
Br7 Br 0.861 0.947 0.714
Br8 Br 0.828 0.710 0.421
Br9 Br 0.817 0.682 0.065
Br10 Br 0.683 0.182 0.435
Br11 Br 0.672 0.210 0.079
Br12 Br 0.639 0.447 0.786
```

Space-group type: P2_1/c
ΔE_f (raw), eV per formula unit: -7.88

---

Record 5
VASP calculation (GGA-PBE) on a relaxed LiTc3Br crystal.

The structure in CIF format:
```
data_LiTc3Br
_cell_length_a 4.580
_cell_length_b 4.580
_cell_length_c 4.580
_cell_angle_alpha 90.00
_cell_angle_beta 90.00
_cell_angle_gamma 90.00
_symmetry_space_group_name_H-M 'P 1'
_symmetry_Int_Tables_number 1
loop_
_symmetry_equiv_pos_as_xyz
'x,y,z'
loop_
_atom_site_label
_atom_site_type_symbol
_atom_site_fract_x
_atom_site_fract_y
_atom_site_fract_z
Tc1 Tc 0.000 0.500 0.000
Tc2 Tc 0.000 0.000 0.500
Tc3 Tc 0.500 0.000 0.000
Br1 Br 0.000 0.000 0.000
Li1 Li 0.500 0.500 0.500
```

Space-group type: Pm-3m
Fermi-level density of states, states/eV/atom: 0.7924
ΔE_f (raw), eV per formula unit: 7.60

---

Record 6
VASP calculation (GGA-PBE) on a relaxed LiTcBr4 crystal.

The structure in CIF format:
```
data_LiTcBr4
_cell_length_a 6.381
_cell_length_b 6.381
_cell_length_c 6.381
_cell_angle_alpha 60.00
_cell_angle_beta 60.00
_cell_angle_gamma 60.00
_symmetry_space_group_name_H-M 'P 1'
_symmetry_Int_Tables_number 1
loop_
_symmetry_equiv_pos_as_xyz
'x,y,z'
loop_
_atom_site_label
_atom_site_type_symbol
_atom_site_fract_x
_atom_site_fract_y
_atom_site_fract_z
Li1 Li 0.750 0.750 0.750
Tc1 Tc 0.000 0.000 0.000
Br1 Br 0.877 0.374 0.374
Br2 Br 0.374 0.374 0.877
Br3 Br 0.374 0.877 0.374
Br4 Br 0.374 0.374 0.374
```

Space-group type: F-43m
Fermi-level density of states, states/eV/atom: 1.2063
ΔE_f (raw), eV per formula unit: 4.83